## KRbAsBr2 (GGA-PBE)

Data for a geometry-optimized KRbAsBr2 structure.

```
data_KRbAsBr2
_cell_length_a 6.2594
_cell_length_b 6.2594
_cell_length_c 6.2079
_cell_angle_alpha 90.00
_cell_angle_beta 90.00
_cell_angle_gamma 90.00
_symmetry_space_group_name_H-M 'P 4/m m m'
_symmetry_Int_Tables_number 123
_symmetry_space_group_name_Hall '-P 4 2'
loop_
_atom_site_label
_atom_site_type_symbol
_atom_site_fract_x
_atom_site_fract_y
_atom_site_fract_z
K1 K 0.0000 0.0000 0.0000
Rb1 Rb 0.5000 0.5000 0.5000
As1 As 0.0000 0.0000 0.5000
Br1 Br 0.0000 0.5000 0.0000
```

Relative energy among the computed polymorphs in meV per atom: 0

***

## TlInSb2Te (GGA-PBE)

Data for a geometry-optimized TlInSb2Te structure.

```
data_TlInSb2Te
_cell_length_a 5.7340
_cell_length_b 5.7340
_cell_length_c 5.9569
_cell_angle_alpha 90.00
_cell_angle_beta 90.00
_cell_angle_gamma 90.00
_symmetry_space_group_name_H-M 'P 4/m m m'
_symmetry_Int_Tables_number 123
_symmetry_space_group_name_Hall '-P 4 2'
loop_
_atom_site_label
_atom_site_type_symbol
_atom_site_fract_x
_atom_site_fract_y
_atom_site_fract_z
Tl1 Tl 0.0000 0.0000 0.0000
In1 In 0.5000 0.5000 0.5000
Sb1 Sb 0.0000 0.5000 0.5000
Te1 Te 0.5000 0.5000 0.0000
```

Relative energy among the computed polymorphs in meV per atom: 0

***

Q: What is the relative energy among the computed polymorphs in the first record?
A: 0 meV per atom

***

Please write out number 2 again, unchanged.
## TlInSb2Te (GGA-PBE)

Data for a geometry-optimized TlInSb2Te structure.

```
data_TlInSb2Te
_cell_length_a 5.7340
_cell_length_b 5.7340
_cell_length_c 5.9569
_cell_angle_alpha 90.00
_cell_angle_beta 90.00
_cell_angle_gamma 90.00
_symmetry_space_group_name_H-M 'P 4/m m m'
_symmetry_Int_Tables_number 123
_symmetry_space_group_name_Hall '-P 4 2'
loop_
_atom_site_label
_atom_site_type_symbol
_atom_site_fract_x
_atom_site_fract_y
_atom_site_fract_z
Tl1 Tl 0.0000 0.0000 0.0000
In1 In 0.5000 0.5000 0.5000
Sb1 Sb 0.0000 0.5000 0.5000
Te1 Te 0.5000 0.5000 0.0000
```

Relative energy among the computed polymorphs in meV per atom: 0